No. 1
{
  "formula": "LiEr2Mg6",
  "functional": "PBE-GGA",
  "state": "optimized geometry",
  "lattice_angstrom": [[7.779, -4.490, 0.000], [7.779, 4.490, 0.000], [-0.025, 0.000, 3.197]],
  "species": ["Li", "Er", "Er", "Mg", "Mg", "Mg", "Mg", "Mg", "Mg"],
  "fractional_positions": [[0.000, 0.000, 0.000], [0.333, 0.333, 0.000], [0.667, 0.667, 0.000], [0.000, 0.331, 0.488], [0.000, 0.669, 0.512], [0.330, 0.670, 0.500], [0.331, 0.000, 0.488], [0.669, 0.000, 0.512], [0.670, 0.330, 0.500]],
  "total_energy_ev_per_fu": -20.8,
  "sg": "C2/m, No. 12",
  "de_polymorph_mev_per_atom": 0,
  "delta_e_f_mev_per_atom": -26
}


No. 2
{
  "formula": "LiErMg2",
  "functional": "PBE-GGA",
  "state": "optimized geometry",
  "lattice_angstrom": [[5.423, 0.000, 0.000], [0.000, 5.423, 0.000], [0.000, 0.000, 3.418]],
  "species": ["Li", "Er", "Mg", "Mg"],
  "fractional_positions": [[0.000, 0.000, 0.000], [0.500, 0.500, 0.000], [0.000, 0.500, 0.500], [0.500, 0.000, 0.500]],
  "total_energy_ev_per_fu": -9.6,
  "sg": "P4/mmm, No. 123",
  "de_polymorph_mev_per_atom": 67,
  "delta_e_f_mev_per_atom": 25
}


No. 3
{
  "formula": "LiErMg5",
  "functional": "PBE-GGA",
  "state": "optimized geometry",
  "lattice_angstrom": [[4.631, 0.000, 0.000], [0.000, 4.631, 0.000], [0.000, 0.000, 8.013]],
  "species": ["Li", "Er", "Mg", "Mg", "Mg", "Mg", "Mg"],
  "fractional_positions": [[0.000, 0.000, 0.000], [0.000, 0.000, 0.500], [0.000, 0.500, 0.211], [0.000, 0.500, 0.789], [0.500, 0.000, 0.211], [0.500, 0.000, 0.789], [0.500, 0.500, 0.500]],
  "total_energy_ev_per_fu": -14.3,
  "sg": "P4/mmm, No. 123",
  "de_polymorph_mev_per_atom": 0,
  "delta_e_f_mev_per_atom": 26
}


No. 4
{
  "formula": "Li2Er3Mg7",
  "functional": "PBE-GGA",
  "state": "optimized geometry",
  "lattice_angstrom": [[5.289, 0.000, 0.000], [0.000, 5.125, 0.000], [-0.045, 0.000, 11.282]],
  "species": ["Li", "Li", "Er", "Er", "Er", "Mg", "Mg", "Mg", "Mg", "Mg", "Mg", "Mg"],
  "fractional_positions": [[0.002, 0.000, 0.281], [0.998, 0.000, 0.719], [0.000, 0.000, 0.000], [0.497, 0.500, 0.656], [0.503, 0.500, 0.344], [0.002, 0.500, 0.164], [0.256, 0.000, 0.500], [0.498, 0.000, 0.833], [0.500, 0.500, 0.000], [0.502, 0.000, 0.167], [0.744, 0.000, 0.500], [0.998, 0.500, 0.836]],
  "total_energy_ev_per_fu": -27.2,
  "sg": "P2/m, No. 10",
  "de_polymorph_mev_per_atom": 125,
  "delta_e_f_mev_per_atom": 122
}


No. 5
{
  "formula": "LiEr3Mg12",
  "functional": "PBE-GGA",
  "state": "optimized geometry",
  "lattice_angstrom": [[4.612, 0.000, 0.000], [0.000, 4.612, 0.000], [0.000, 0.000, 18.281]],
  "species": ["Li", "Er", "Er", "Er", "Mg", "Mg", "Mg", "Mg", "Mg", "Mg", "Mg", "Mg", "Mg", "Mg", "Mg", "Mg"],
  "fractional_positions": [[0.000, 0.000, 0.000], [0.000, 0.000, 0.242], [0.000, 0.000, 0.500], [0.000, 0.000, 0.758], [0.000, 0.500, 0.115], [0.000, 0.500, 0.371], [0.000, 0.500, 0.629], [0.000, 0.500, 0.885], [0.500, 0.000, 0.115], [0.500, 0.000, 0.371], [0.500, 0.000, 0.629], [0.500, 0.000, 0.885], [0.500, 0.500, 0.000], [0.500, 0.500, 0.239], [0.500, 0.500, 0.500], [0.500, 0.500, 0.761]],
  "total_energy_ev_per_fu": -35.4,
  "sg": "P4/mmm, No. 123",
  "delta_e_f_mev_per_atom": -44
}


No. 6
{
  "formula": "LiErMg2",
  "functional": "PBE-GGA",
  "state": "optimized geometry",
  "lattice_angstrom": [[0.000, 3.643, 3.643], [3.643, 0.000, 3.643], [3.643, 3.643, 0.000]],
  "species": ["Li", "Er", "Mg", "Mg"],
  "fractional_positions": [[0.000, 0.000, 0.000], [0.500, 0.500, 0.500], [0.250, 0.250, 0.250], [0.750, 0.750, 0.750]],
  "total_energy_ev_per_fu": -9.5,
  "sg": "Fm-3m, No. 225",
  "de_polymorph_mev_per_atom": 89,
  "delta_e_f_mev_per_atom": 47
}